Re2PBr, optimized geometry, DFT PBE-GGA; energy relative to the elements, uncorrected = 1.7 eV/f.u.; energy = -30.2 eV for the cell shown; relative energy among the computed polymorphs = 0.137 eV/atom; DOS(E_F) = 0.36 states/eV/atom
1.0
-1.778 -3.060 -2.299
2.113 0.381 -2.142
4.365 -4.351 2.415
Re Br P
2 1 1
Cartesian
0.536 -2.138 -1.442 Re
1.893 0.151 -1.665 Re
2.763 -1.619 0.018 Br
4.861 -5.027 -0.943 P



Cs3In5Hg12, optimized geometry, DFT PBE-GGA; energy of formation = -32 meV/atom; energy = -82.1 eV for the cell shown; DOS(E_F) = 0.30 states/eV/atom
1.0
16.365 0.000 0.000
-5.455 15.429 0.000
-5.455 -7.715 13.362
In Hg Cs
20 48 12
Cartesian
0.000 0.000 0.000 In
4.091 2.893 1.670 In
5.455 -3.857 6.681 In
6.819 -4.822 11.692 In
5.455 7.715 0.000 In
1.364 4.822 11.692 In
-4.091 8.679 5.011 In
6.819 3.857 10.021 In
-2.728 7.715 0.000 In
-1.364 12.536 1.670 In
6.819 6.750 5.011 In
-1.364 3.857 3.340 In
4.091 11.572 3.340 In
-1.364 0.964 8.351 In
1.364 -3.857 10.021 In
9.546 -0.964 8.351 In
-2.728 -3.857 6.681 In
8.183 0.000 0.000 In
2.728 3.857 6.681 In
-5.455 3.857 6.681 In
7.058 2.568 12.603 Hg
2.511 2.588 4.077 Hg
11.126 0.968 6.883 Hg
6.727 2.452 0.556 Hg
4.330 5.773 1.845 Hg
-4.000 12.977 0.556 Hg
7.058 -1.941 11.517 Hg
-1.125 -0.627 10.758 Hg
2.797 0.759 0.202 Hg
-1.455 9.864 4.836 Hg
-1.272 5.263 12.806 Hg
5.239 6.095 10.961 Hg
9.455 -5.263 12.806 Hg
-1.603 9.656 1.845 Hg
10.841 -3.303 7.237 Hg
6.580 8.342 2.604 Hg
-1.603 5.146 0.759 Hg
2.944 5.127 9.285 Hg
8.399 8.682 6.479 Hg
4.330 10.283 0.759 Hg
5.524 -6.955 13.160 Hg
2.797 11.367 5.922 Hg
4.183 5.565 4.836 Hg
-0.069 4.062 5.922 Hg
-2.658 3.302 7.237 Hg
0.216 12.841 4.077 Hg
-4.000 4.601 4.280 Hg
-1.272 -3.113 9.082 Hg
1.272 2.150 8.526 Hg
2.658 -3.653 7.440 Hg
8.113 4.412 6.125 Hg
6.910 -2.150 8.526 Hg
-3.852 7.087 2.604 Hg
5.239 -5.127 9.285 Hg
5.524 3.653 7.440 Hg
1.125 1.941 11.517 Hg
2.658 6.955 13.160 Hg
1.125 -2.568 12.603 Hg
-5.671 6.747 6.479 Hg
2.511 13.809 2.401 Hg
0.216 1.620 2.401 Hg
9.307 0.627 10.758 Hg
-0.069 14.670 0.202 Hg
-5.386 11.017 6.125 Hg
6.727 10.828 4.280 Hg
9.455 3.113 9.082 Hg
2.944 -6.095 10.961 Hg
-2.944 -0.968 6.883 Hg
9.546 4.822 1.670 Cs
-6.819 7.715 10.021 Cs
-4.091 2.893 11.692 Cs
1.364 7.715 3.340 Cs
-1.364 6.750 8.351 Cs
9.546 10.607 1.670 Cs
4.091 8.679 8.351 Cs
-4.091 -2.893 11.692 Cs
12.274 0.000 3.340 Cs
4.091 0.000 10.021 Cs
1.364 -0.964 5.011 Cs
6.819 0.964 5.011 Cs



Y4Bi2Sb, optimized geometry, DFT PBE-GGA; energy relative to the elements, uncorrected = -2.5 eV/f.u.; energy = -40.2 eV for the cell shown; relative energy among the computed polymorphs = 0.502 eV/atom; DOS(E_F) = 0.96 states/eV/atom
1.0
-4.796 -2.226 1.679
2.313 -5.042 -0.077
1.037 -2.707 8.539
Y Bi Sb
4 2 1
Cartesian
1.157 -2.521 -0.039 Y
-1.665 -6.935 4.380 Y
0.219 -3.040 5.760 Y
-2.398 -1.113 0.839 Y
-0.643 -3.391 2.832 Bi
-0.803 -6.585 7.308 Bi
0.000 0.000 0.000 Sb



Cr2SiRu, optimized geometry, DFT PBE-GGA; energy relative to the elements, uncorrected = -0.7 eV/f.u.; energy = -34.6 eV for the cell shown; DOS(E_F) = 0.89 states/eV/atom
1.0
-0.067 2.242 3.131
-2.363 1.050 -0.802
-4.720 -2.359 1.589
Cr Si Ru
2 1 1
Cartesian
-3.597 -0.743 0.456 Cr
-4.664 -2.270 1.526 Cr
-5.346 0.140 2.156 Si
-1.804 0.794 1.762 Ru



Na2La4Hg, optimized geometry, DFT PBE-GGA; energy of formation = 366 meV/atom; energy = -20.1 eV for the cell shown; DOS(E_F) = 1.80 states/eV/atom
1.0
5.955 0.000 0.000
0.000 5.955 0.000
2.977 2.977 8.650
La Na Hg
4 2 1
Cartesian
5.955 5.955 3.076 La
2.977 2.977 5.574 La
2.977 0.000 0.000 La
0.000 2.977 0.000 La
5.955 5.955 6.505 Na
2.977 2.977 2.145 Na
0.000 0.000 0.000 Hg



Sc5Ga2Sb2, optimized geometry, DFT PBE-GGA; energy relative to the elements, uncorrected = -7.1 eV/f.u.; energy = -106.1 eV for the cell shown; DOS(E_F) = 0.71 states/eV/atom
1.0
7.463 0.000 0.000
0.000 6.638 -3.412
0.000 -0.016 8.132
Sc Sb Ga
10 4 4
Cartesian
1.257 3.046 0.518 Sc
4.989 1.968 1.073 Sc
0.000 0.000 0.000 Sc
6.207 5.287 -0.634 Sc
6.207 3.576 4.201 Sc
4.989 0.257 5.907 Sc
3.732 3.319 -1.706 Sc
1.257 1.335 5.353 Sc
2.475 4.654 3.647 Sc
2.475 6.365 -1.188 Sc
3.732 1.939 3.771 Sb
0.000 5.258 2.065 Sb
3.732 4.683 0.948 Sb
0.000 1.364 2.654 Sb
6.512 2.464 -1.267 Ga
0.952 4.174 -2.145 Ga
2.780 0.855 -0.439 Ga
4.684 5.783 -2.973 Ga



Number 6 is which compound? Sc5Ga2Sb2



What is the energy in the third record? -40.2 eV for the cell shown



What is the DOS(E_F) in the first record? 0.36 states/eV/atom